Entry 1:
Density functional theory data (GGA-PBE) for a relaxed structure of Li2ZnPdO4.

- raw formation energy (eV per atom) = -1.2491
- final energy (eV/cell) = -40.12
- symmetry = P2/m

Cell and atoms, written as POSCAR:
```
Li2ZnPdO4
1.0
5.1782 0.0000 0.0000
0.0000 3.0309 0.0000
-1.8298 0.0000 4.9874
Li Zn Pd O
2 1 1 4
direct
0.0000 0.0000 0.0000
0.0000 0.5000 0.5000
0.5000 0.0000 0.5000
0.5000 0.5000 0.0000
0.2643 0.0000 0.7754
0.2678 0.5000 0.2469
0.7322 0.5000 0.7531
0.7357 0.0000 0.2246
```

=====

Entry 2:
Density functional theory data (GGA-PBE) for a relaxed structure of LiZr2PdO.

- raw formation energy (eV per atom) = -1.2935
- final energy (eV/cell) = -35.63
- symmetry = P4/mmm

Cell and atoms, written as POSCAR:
```
LiZr2PdO
1.0
4.4818 0.0000 0.0000
0.0000 4.4818 0.0000
0.0000 0.0000 3.8073
Li Zr Pd O
1 2 1 1
direct
0.0000 0.0000 0.0000
0.0000 0.5000 0.5000
0.5000 0.0000 0.5000
0.5000 0.5000 0.0000
0.0000 0.0000 0.5000
```

=====

Entry 3:
Density functional theory data (GGA-PBE) for a relaxed structure of Li2ZrPdO.

- raw formation energy (eV per atom) = -1.2349
- final energy (eV/cell) = -28.70
- symmetry = P4/mmm

Cell and atoms, written as POSCAR:
```
Li2ZrPdO
1.0
3.9984 0.0000 0.0000
0.0000 3.9984 0.0000
0.0000 0.0000 4.3572
Li Zr Pd O
2 1 1 1
direct
0.0000 0.5000 0.0000
0.5000 0.0000 0.0000
0.0000 0.0000 0.5000
0.5000 0.5000 0.5000
0.0000 0.0000 0.0000
```

=====

Entry 4:
Density functional theory data (GGA-PBE) for a relaxed structure of Li8PmO6.

- raw formation energy (eV per atom) = -1.9573
- final energy (eV/cell) = -79.17
- symmetry = R-3

Cell and atoms, written as POSCAR:
```
Li8PmO6
1.0
2.8481 1.6444 5.5169
-2.8481 1.6444 5.5169
0.0000 -3.2887 5.5169
Li Pm O
8 1 6
direct
0.0025 0.4026 0.7236
0.1358 0.1358 0.1358
0.2764 0.9975 0.5974
0.4026 0.7236 0.0025
0.5974 0.2764 0.9975
0.7236 0.0025 0.4026
0.8642 0.8642 0.8642
0.9975 0.5974 0.2764
0.5000 0.5000 0.5000
0.1014 0.7440 0.3904
0.2560 0.6096 0.8986
0.3904 0.1014 0.7440
0.6096 0.8986 0.2560
0.7440 0.3904 0.1014
0.8986 0.2560 0.6096
```

=====

Entry 5:
Density functional theory data (GGA-PBE) for a relaxed structure of LiPm3O4.

- raw formation energy (eV per atom) = -2.7463
- final energy (eV/cell) = -57.97
- symmetry = Pm-3m

Cell and atoms, written as POSCAR:
```
LiPm3O4
1.0
4.8920 0.0000 0.0000
0.0000 4.8920 0.0000
0.0000 0.0000 4.8920
Li Pm O
1 3 4
direct
0.0000 0.0000 0.0000
0.0000 0.5000 0.5000
0.5000 0.0000 0.5000
0.5000 0.5000 0.0000
0.0000 0.0000 0.5000
0.0000 0.5000 0.0000
0.5000 0.0000 0.0000
0.5000 0.5000 0.5000
```

=====

Entry 6:
Density functional theory data (GGA-PBE) for a relaxed structure of Li3PmO3.

- raw formation energy (eV per atom) = -2.3279
- final energy (eV/cell) = -83.32
- symmetry = R-3

Cell and atoms, written as POSCAR:
```
Li3PmO3
1.0
2.9866 1.7243 5.4768
-2.9866 1.7243 5.4768
0.0000 -3.4486 5.4768
Li Pm O
6 2 6
direct
0.1508 0.8250 0.4018
0.1750 0.5982 0.8492
0.4018 0.1508 0.8250
0.5982 0.8492 0.1750
0.8250 0.4018 0.1508
0.8492 0.1750 0.5982
0.3300 0.3300 0.3300
0.6700 0.6700 0.6700
0.0850 0.4609 0.7182
0.2818 0.9150 0.5391
0.4609 0.7182 0.0850
0.5391 0.2818 0.9150
0.7182 0.0850 0.4609
0.9150 0.5391 0.2818
```

=====

| no. | spin magnetization (μB per formula unit) |
| --- | --- |
| 1 | 0.00 |
| 2 | 0.00 |
| 3 | 0.00 |
| 4 | 1.10 |
| 5 | 0.00 |
| 6 | 0.00 |